#a
Computed, not measured: crystalline CeScIn at its relaxed geometry at the PBE-GGA level of DFT.

Cell and atoms, written as POSCAR:
```
CeScIn
1.0
5.269 0.000 0.000
-2.634 4.563 0.000
0.000 0.000 6.415
Ce Sc In
2 2 2
Cartesian
0.000 0.000 0.000 Ce
0.000 0.000 3.208 Ce
0.000 3.042 1.604 Sc
2.634 1.521 4.811 Sc
0.000 3.042 4.811 In
2.634 1.521 1.604 In
```

Results
Space group   P6_3/mmc (194)

***

#b
Computed, not measured: crystalline CeScIn at its relaxed geometry at the PBE-GGA level of DFT.

Cell and atoms, written as POSCAR:
```
CeScIn
1.0
5.246 0.000 0.000
-2.623 4.543 0.000
0.000 0.000 3.096
Ce Sc In
1 1 1
Cartesian
0.000 0.000 0.000 Ce
2.623 1.514 3.088 Sc
0.000 3.029 1.546 In
```

Results
Space group   P3m1 (156)

***

#c
Computed, not measured: crystalline CeScIn at its relaxed geometry at the PBE-GGA level of DFT.

Cell and atoms, written as POSCAR:
```
CeScIn
1.0
-1.663 1.663 7.022
1.663 -1.663 7.022
1.663 1.663 -7.022
Ce Sc In
1 1 1
Cartesian
0.000 0.000 0.000 Ce
0.000 0.000 4.456 Sc
0.000 0.000 9.437 In
```

Results
Space group   I4mm (107)

***

Preferred: #a; penalty for the next structure: 10.1 kJ/mol of atoms.

***

#a
Computed, not measured: crystalline CeSmIn at its relaxed geometry at the PBE-GGA level of DFT.

Cell and atoms, written as POSCAR:
```
CeSmIn
1.0
3.709 0.000 0.000
0.001 5.287 0.000
1.842 0.560 8.706
Ce Sm In
2 2 2
Cartesian
0.926 1.664 0.218 Ce
4.626 4.182 8.487 Ce
2.763 4.281 5.493 Sm
2.789 1.565 3.213 Sm
0.930 4.231 2.488 In
4.622 1.615 6.217 In
```

Results
Space group   P-1 (2)

***

#b
Computed, not measured: crystalline CeSmIn at its relaxed geometry at the PBE-GGA level of DFT.

Cell and atoms, written as POSCAR:
```
CeSmIn
1.0
5.380 0.000 0.000
-2.690 4.659 0.000
0.000 0.000 3.236
Ce Sm In
1 1 1
Cartesian
0.000 0.000 0.000 Ce
2.690 1.553 0.018 Sm
0.000 3.106 1.623 In
```

Results
Space group   P3m1 (156)

***

#c
Computed, not measured: crystalline CeSmIn at its relaxed geometry at the PBE-GGA level of DFT.

Cell and atoms, written as POSCAR:
```
CeSmIn
1.0
-2.067 2.067 5.048
2.067 -2.067 5.048
2.067 2.067 -5.048
Ce Sm In
1 1 1
Cartesian
0.000 0.000 0.000 Ce
0.000 0.000 6.894 Sm
0.000 0.000 3.434 In
```

Results
Space group   I4mm (107)

***

#d
Computed, not measured: crystalline CeSmIn at its relaxed geometry at the PBE-GGA level of DFT.

Cell and atoms, written as POSCAR:
```
CeSmIn
1.0
-1.860 1.860 12.964
1.860 -1.860 12.964
1.860 1.860 -12.964
Ce Sm In
2 2 2
Cartesian
0.000 0.000 5.792 Ce
0.000 0.000 20.136 Ce
0.000 0.000 1.816 Sm
0.000 0.000 24.112 Sm
0.000 0.000 9.221 In
0.000 0.000 16.707 In
```

Results
Space group   I4/mmm (139)

***

Preferred: #a; penalty for the next structure: 11.0 kJ/mol of atoms.

***

#a
Computed, not measured: crystalline CeSm3In4 at its relaxed geometry at the PBE-GGA level of DFT.

Cell and atoms, written as POSCAR:
```
CeSm3In4
1.0
-1.744 3.654 9.542
1.744 -3.654 9.542
1.744 3.654 -9.542
Ce Sm In
1 3 4
Cartesian
0.000 0.000 0.000 Ce
1.744 0.000 4.163 Sm
0.000 0.000 9.542 Sm
0.000 3.654 5.379 Sm
1.744 -1.516 7.106 In
0.000 2.138 2.436 In
1.744 1.516 7.106 In
0.000 5.170 2.436 In
```

Results
Space group   Immm (71)

***

#b
Computed, not measured: crystalline CeSm3In4 at its relaxed geometry at the PBE-GGA level of DFT.

Cell and atoms, written as POSCAR:
```
CeSm3In4
1.0
3.809 0.000 0.000
0.000 3.809 0.000
0.000 0.000 15.620
Ce Sm In
1 3 4
Cartesian
0.000 0.000 0.000 Ce
0.000 0.000 3.941 Sm
0.000 0.000 7.810 Sm
0.000 0.000 11.679 Sm
1.904 1.904 2.011 In
1.904 1.904 5.872 In
1.904 1.904 9.749 In
1.904 1.904 13.609 In
```

Results
Space group   P4/mmm (123)

***

Preferred: #b; penalty for the next structure: 17.4 kJ/mol of atoms.

***

#a
Computed, not measured: crystalline CeSm2In at its relaxed geometry at the PBE-GGA level of DFT.

Cell and atoms, written as POSCAR:
```
CeSm2In
1.0
1.792 1.035 11.087
-1.792 1.035 11.087
0.000 -2.070 11.087
Ce Sm In
1 2 1
Cartesian
0.000 0.000 0.000 Ce
0.000 0.000 19.272 Sm
0.000 0.000 25.100 Sm
0.000 0.000 5.550 In
```

Results
Space group   R3m (160)

***

#b
Computed, not measured: crystalline CeSm2In at its relaxed geometry at the PBE-GGA level of DFT.

Cell and atoms, written as POSCAR:
```
CeSm2In
1.0
4.967 0.000 0.000
0.000 4.967 0.000
0.000 0.000 4.736
Ce Sm In
1 2 1
Cartesian
0.000 0.000 0.000 Ce
0.000 2.484 2.368 Sm
2.484 0.000 2.368 Sm
2.484 2.484 0.000 In
```

Results
Space group   P4/mmm (123)

***

Preferred: #b; penalty for the next structure: 14.5 kJ/mol of atoms.

***

#a
Computed, not measured: crystalline CeSm2In at its relaxed geometry at the PBE-GGA level of DFT.

Cell and atoms, written as POSCAR:
```
CeSm2In
1.0
0.000 3.871 3.871
3.871 0.000 3.871
3.871 3.871 0.000
Ce Sm In
1 2 1
Cartesian
0.000 0.000 0.000 Ce
1.936 1.936 1.936 Sm
5.807 5.807 5.807 Sm
3.871 3.871 3.871 In
```

Results
Space group   Fm-3m (225)

***

#b
Computed, not measured: crystalline CeSm2In at its relaxed geometry at the PBE-GGA level of DFT.

Cell and atoms, written as POSCAR:
```
CeSm2In
1.0
3.616 0.000 0.000
0.000 3.616 0.000
0.000 0.000 9.079
Ce Sm In
1 2 1
Cartesian
0.000 0.000 0.000 Ce
1.808 1.808 2.408 Sm
1.808 1.808 6.671 Sm
0.000 0.000 4.540 In
```

Results
Space group   P4/mmm (123)

***

Preferred: #b; penalty for the next structure: 9.7 kJ/mol of atoms.

***

#a
Computed, not measured: crystalline CeSmTlIn at its relaxed geometry at the PBE-GGA level of DFT.

Cell and atoms, written as POSCAR:
```
CeSmTlIn
1.0
0.000 3.868 3.868
3.868 0.000 3.868
3.868 3.868 0.000
Ce Sm Tl In
1 1 1 1
Cartesian
0.000 0.000 0.000 Ce
3.868 3.868 3.868 Sm
5.802 5.802 5.802 Tl
1.934 1.934 1.934 In
```

Results
Space group   F-43m (216)

***

#b
Computed, not measured: crystalline CeSmTlIn at its relaxed geometry at the PBE-GGA level of DFT.

Cell and atoms, written as POSCAR:
```
CeSmTlIn
1.0
-2.519 2.519 4.486
2.519 -2.519 4.486
2.519 2.519 -4.486
Ce Sm Tl In
1 1 1 1
Cartesian
0.000 0.000 0.000 Ce
0.000 0.000 4.486 Sm
2.519 0.000 2.243 Tl
0.000 2.519 2.243 In
```

Results
Space group   I-4m2 (119)

***

Preferred: #b; penalty for the next structure: 0.6 kJ/mol of atoms.

***

#a
Computed, not measured: crystalline Ce2InSn4 at its relaxed geometry at the PBE-GGA level of DFT.

Cell and atoms, written as POSCAR:
```
Ce2InSn4
1.0
4.627 -4.683 0.000
4.627 4.683 0.000
0.000 0.000 4.608
Ce In Sn
2 1 4
Cartesian
4.627 2.345 0.000 Ce
4.627 -2.345 0.000 Ce
0.000 0.000 2.304 In
2.314 2.342 2.304 Sn
2.394 0.000 0.000 Sn
2.314 -2.342 2.304 Sn
6.861 0.000 0.000 Sn
```

Results
Space group   Cmmm (65)

***

#b
Computed, not measured: crystalline Ce2InSn4 at its relaxed geometry at the PBE-GGA level of DFT.

Cell and atoms, written as POSCAR:
```
Ce2InSn4
1.0
-2.762 2.762 7.791
2.762 -2.762 7.791
2.762 2.762 -7.791
Ce In Sn
2 1 4
Cartesian
0.000 0.000 1.849 Ce
0.000 0.000 13.733 Ce
0.000 0.000 7.791 In
2.762 0.000 0.000 Sn
0.000 0.000 4.985 Sn
0.000 2.762 0.000 Sn
0.000 0.000 10.597 Sn
```

Results
Space group   I4/mmm (139)

***

Preferred: #a; penalty for the next structure: 55.0 kJ/mol of atoms.

***

#a
Computed, not measured: crystalline Ce2InSn3 at its relaxed geometry at the PBE-GGA level of DFT.

Cell and atoms, written as POSCAR:
```
Ce2InSn3
1.0
4.475 0.000 0.000
0.000 4.475 0.000
0.000 0.000 8.464
Ce In Sn
2 1 3
Cartesian
0.000 2.237 1.601 Ce
2.237 0.000 6.863 Ce
0.000 0.000 4.232 In
0.000 2.237 6.902 Sn
2.237 0.000 1.562 Sn
2.237 2.237 4.232 Sn
```

Results
Space group   P-4m2 (115)

***

#b
Computed, not measured: crystalline Ce2InSn3 at its relaxed geometry at the PBE-GGA level of DFT.

Cell and atoms, written as POSCAR:
```
Ce2InSn3
1.0
2.225 -7.610 0.000
2.225 7.610 0.000
0.000 0.000 4.779
Ce In Sn
2 1 3
Cartesian
2.225 5.321 0.000 Ce
2.225 -5.321 0.000 Ce
0.000 0.000 2.390 In
2.225 2.673 2.390 Sn
2.225 0.000 0.000 Sn
2.225 -2.673 2.390 Sn
```

Results
Space group   Cmmm (65)

***

Preferred: #b; penalty for the next structure: 16.0 kJ/mol of atoms.

***

#a
Computed, not measured: crystalline CeIn2Sn at its relaxed geometry at the PBE-GGA level of DFT.

Cell and atoms, written as POSCAR:
```
CeIn2Sn
1.0
0.000 3.819 3.819
3.819 0.000 3.819
3.819 3.819 0.000
Ce In Sn
1 2 1
Cartesian
0.000 0.000 0.000 Ce
1.909 1.909 1.909 In
5.728 5.728 5.728 In
3.819 3.819 3.819 Sn
```

Results
Space group   Fm-3m (225)

***

#b
Computed, not measured: crystalline CeIn2Sn at its relaxed geometry at the PBE-GGA level of DFT.

Cell and atoms, written as POSCAR:
```
CeIn2Sn
1.0
4.637 0.000 0.000
0.000 4.637 0.000
0.000 0.000 4.855
Ce In Sn
1 2 1
Cartesian
0.000 0.000 0.000 Ce
0.000 2.319 2.428 In
2.319 0.000 2.428 In
2.319 2.319 0.000 Sn
```

Results
Space group   P4/mmm (123)

***

Preferred: #b; penalty for the next structure: 30.7 kJ/mol of atoms.

***

#a
Computed, not measured: crystalline Ce3InSn2 at its relaxed geometry at the PBE-GGA level of DFT.

Cell and atoms, written as POSCAR:
```
Ce3InSn2
1.0
3.449 0.000 0.000
0.000 3.449 0.000
0.000 0.000 13.797
Ce In Sn
3 1 2
Cartesian
0.000 0.000 0.000 Ce
0.000 0.000 4.570 Ce
0.000 0.000 9.227 Ce
1.725 1.725 6.898 In
1.725 1.725 2.295 Sn
1.725 1.725 11.502 Sn
```

Results
Space group   P4/mmm (123)

***

#b
Computed, not measured: crystalline Ce3InSn2 at its relaxed geometry at the PBE-GGA level of DFT.

Cell and atoms, written as POSCAR:
```
Ce3InSn2
1.0
-2.301 2.349 8.194
2.301 -2.349 8.194
2.301 2.349 -8.194
Ce In Sn
3 1 2
Cartesian
0.000 0.000 0.000 Ce
2.301 0.000 2.669 Ce
0.000 2.349 5.525 Ce
0.000 0.000 8.194 In
2.301 0.000 5.864 Sn
0.000 2.349 2.329 Sn
```

Results
Space group   Immm (71)

***

Preferred: #a; penalty for the next structure: 2.3 kJ/mol of atoms.

***

#a
Computed, not measured: crystalline CeYInSn at its relaxed geometry at the PBE-GGA level of DFT.

Cell and atoms, written as POSCAR:
```
CeYInSn
1.0
4.453 0.000 0.000
0.000 4.941 0.000
0.000 0.000 4.983
Ce Y In Sn
1 1 1 1
Cartesian
0.000 0.000 0.000 Ce
0.000 2.471 2.491 Y
2.226 0.000 2.491 In
2.226 2.471 0.000 Sn
```

Results
Space group   Pmmm (47)

***

#b
Computed, not measured: crystalline CeYInSn at its relaxed geometry at the PBE-GGA level of DFT.

Cell and atoms, written as POSCAR:
```
CeYInSn
1.0
0.000 3.818 3.818
3.818 0.000 3.818
3.818 3.818 0.000
Ce Y In Sn
1 1 1 1
Cartesian
0.000 0.000 0.000 Ce
3.818 3.818 3.818 Y
1.909 1.909 1.909 In
5.727 5.727 5.727 Sn
```

Results
Space group   F-43m (216)

***

Preferred: #a; penalty for the next structure: 2.8 kJ/mol of atoms.

***

#a
Computed, not measured: crystalline SrCeIn at its relaxed geometry at the PBE-GGA level of DFT.

Cell and atoms, written as POSCAR:
```
SrCeIn
1.0
-1.900 1.900 7.305
1.900 -1.900 7.305
1.900 1.900 -7.305
Sr Ce In
1 1 1
Cartesian
0.000 0.000 0.000 Sr
0.000 0.000 4.219 Ce
0.000 0.000 9.574 In
```

Results
Space group   I4mm (107)

***

#b
Computed, not measured: crystalline SrCeIn at its relaxed geometry at the PBE-GGA level of DFT.

Cell and atoms, written as POSCAR:
```
SrCeIn
1.0
3.876 0.000 0.000
0.001 4.009 0.000
0.434 0.009 12.910
Sr Ce In
2 2 2
Cartesian
0.959 1.006 1.720 Sr
3.352 3.012 11.189 Sr
0.848 1.007 5.742 Ce
3.463 3.011 7.168 Ce
1.476 1.007 9.036 In
2.835 3.011 3.873 In
```

Results
Space group   P-1 (2)

***

Preferred: #b; penalty for the next structure: 17.6 kJ/mol of atoms.

***

#a
Computed, not measured: crystalline SrCeIn at its relaxed geometry at the PBE-GGA level of DFT.

Cell and atoms, written as POSCAR:
```
SrCeIn
1.0
-1.947 1.947 13.533
1.947 -1.947 13.533
1.947 1.947 -13.533
Sr Ce In
2 2 2
Cartesian
0.000 0.000 2.018 Sr
0.000 0.000 25.048 Sr
0.000 0.000 6.076 Ce
0.000 0.000 20.991 Ce
0.000 0.000 9.364 In
0.000 0.000 17.702 In
```

Results
Space group   I4/mmm (139)

***

#b
Computed, not measured: crystalline SrCeIn at its relaxed geometry at the PBE-GGA level of DFT.

Cell and atoms, written as POSCAR:
```
SrCeIn
1.0
5.523 0.000 0.000
-2.762 4.783 0.000
0.000 0.000 3.749
Sr Ce In
1 1 1
Cartesian
0.000 0.000 0.000 Sr
0.000 3.189 1.511 Ce
2.762 1.594 2.447 In
```

Results
Space group   P3m1 (156)

***

Preferred: #a; penalty for the next structure: 17.5 kJ/mol of atoms.